1.
HfMnH3: optimized geometry, GGA-PBE.

Structure (CIF):
```
data_HfMnH3
_chemical_formula_sum 'Hf1 Mn1 H3'
_cell_length_a 3.381
_cell_length_b 3.381
_cell_length_c 3.381
_cell_angle_alpha 90.00
_cell_angle_beta 90.00
_cell_angle_gamma 90.00
_space_group_name_H-M_alt 'P m -3 m'
_space_group_IT_number 221
_space_group_name_Hall '-P 4 2 3'
loop_
_atom_site_label
_atom_site_type_symbol
_atom_site_fract_x
_atom_site_fract_y
_atom_site_fract_z
Hf1 Hf 0.000 0.000 0.000
Mn1 Mn 0.500 0.500 0.500
H1 H 0.000 0.500 0.500
```

density: 10.2 Mg/m³
energy: -0.443 Ry per atom

---

2.
PmTlPd: optimized geometry, GGA-PBE.

Structure (CIF):
```
data_PmTlPd
_chemical_formula_sum 'Pm6 Tl6 Pd6'
_cell_length_a 13.975
_cell_length_b 3.854
_cell_length_c 8.006
_cell_angle_alpha 90.00
_cell_angle_beta 90.00
_cell_angle_gamma 90.00
_space_group_name_H-M_alt 'P m m a'
_space_group_IT_number 51
loop_
_space_group_symop_operation_xyz
'x,y,z'
'-x,-y,-z'
'-x+1/2,-y,z'
'x+1/2,y,-z'
'x+1/2,-y,-z'
'-x+1/2,y,z'
'-x,y,-z'
'x,-y,z'
loop_
_atom_site_label
_atom_site_type_symbol
_atom_site_fract_x
_atom_site_fract_y
_atom_site_fract_z
Pm1 Pm 0.049 0.000 0.228
Pm2 Pm 0.250 0.000 0.846
Tl1 Tl 0.114 0.500 0.573
Tl2 Tl 0.250 0.500 0.186
Pd1 Pd 0.094 0.500 0.938
Pd2 Pd 0.250 0.000 0.450
```

offset from the most stable computed form: 0.00 kJ/mol of atoms
density: 10.5 Mg/m³
energy of formation from the pure elements: -61 kJ/mol of atoms
energy: -0.348 Ry per atom

---

3.
ScMn2NbIr: optimized geometry, GGA-PBE.

Structure (CIF):
```
data_ScMn2NbIr
_chemical_formula_sum 'Sc1 Mn2 Nb1 Ir1'
_cell_length_a 4.510
_cell_length_b 4.510
_cell_length_c 4.852
_cell_angle_alpha 90.00
_cell_angle_beta 90.00
_cell_angle_gamma 90.00
_space_group_name_H-M_alt 'P 4/m m m'
_space_group_IT_number 123
_space_group_name_Hall '-P 4 2'
loop_
_atom_site_label
_atom_site_type_symbol
_atom_site_fract_x
_atom_site_fract_y
_atom_site_fract_z
Sc1 Sc 0.000 0.000 0.000
Mn1 Mn 0.000 0.500 0.500
Nb1 Nb 0.500 0.500 0.000
Ir1 Ir 0.500 0.500 0.500
```

density: 7.4 Mg/m³
energy of formation from the pure elements: 97 kJ/mol of atoms
energy: -0.567 Ry per atom

---

4.
Ba2ZrSb: optimized geometry, GGA-PBE.

Structure (CIF):
```
data_Ba2ZrSb
_chemical_formula_sum 'Ba6 Zr3 Sb3'
_cell_length_a 3.7623
_cell_length_b 3.7623
_cell_length_c 35.4913
_cell_angle_alpha 90.00
_cell_angle_beta 90.00
_cell_angle_gamma 120.00
_space_group_name_H-M_alt 'R -3 m'
_space_group_IT_number 166
_space_group_name_Hall '-R 3 2"'
loop_
_atom_site_label
_atom_site_type_symbol
_atom_site_fract_x
_atom_site_fract_y
_atom_site_fract_z
Ba1 Ba 0.0000 0.0000 0.2475
Zr1 Zr 0.0000 0.0000 0.0000
Sb1 Sb 0.0000 0.0000 0.5000
```

density: 5.6 Mg/m³
uncorrected formation energy: 0.254 eV per atom
energy: -0.285 Ry per atom

---

5.
Sc3MoAu: optimized geometry, GGA-PBE.

Structure (CIF):
```
data_Sc3MoAu
_chemical_formula_sum 'Sc3 Mo1 Au1'
_cell_length_a 5.107
_cell_length_b 5.107
_cell_length_c 5.107
_cell_angle_alpha 90.00
_cell_angle_beta 90.00
_cell_angle_gamma 90.00
_space_group_name_H-M_alt 'P m -3 m'
_space_group_IT_number 221
_space_group_name_Hall '-P 4 2 3'
loop_
_atom_site_label
_atom_site_type_symbol
_atom_site_fract_x
_atom_site_fract_y
_atom_site_fract_z
Sc1 Sc 0.000 0.000 0.500
Mo1 Mo 0.500 0.500 0.500
Au1 Au 0.000 0.000 0.000
```

offset from the most stable computed form: 27.05 kJ/mol of atoms
density: 5.3 Mg/m³
energy of formation from the pure elements: 63 kJ/mol of atoms
energy: -0.438 Ry per atom

---

6.
HgOs2PbCl: optimized geometry, GGA-PBE.

Structure (CIF):
```
data_HgOs2PbCl
_chemical_formula_sum 'Hg1 Os2 Pb1 Cl1'
_cell_length_a 5.162
_cell_length_b 5.162
_cell_length_c 5.280
_cell_angle_alpha 90.00
_cell_angle_beta 90.00
_cell_angle_gamma 90.00
_space_group_name_H-M_alt 'P 4/m m m'
_space_group_IT_number 123
_space_group_name_Hall '-P 4 2'
loop_
_atom_site_label
_atom_site_type_symbol
_atom_site_fract_x
_atom_site_fract_y
_atom_site_fract_z
Hg1 Hg 0.000 0.000 0.000
Os1 Os 0.000 0.500 0.000
Pb1 Pb 0.500 0.500 0.500
Cl1 Cl 0.000 0.000 0.500
```

density: 9.7 Mg/m³
uncorrected formation energy: 2.100 eV per atom
energy: -0.262 Ry per atom

---

7.
FePC: optimized geometry, GGA-PBE.

Structure (CIF):
```
data_FePC
_chemical_formula_sum 'Fe4 P4 C4'
_cell_length_a 7.834
_cell_length_b 2.889
_cell_length_c 6.045
_cell_angle_alpha 90.00
_cell_angle_beta 101.31
_cell_angle_gamma 90.00
_space_group_name_H-M_alt 'C 1 m 1'
_space_group_IT_number 8
loop_
_space_group_symop_operation_xyz
'x,y,z'
'x,-y,z'
'x+1/2,y+1/2,z'
'x+1/2,-y+1/2,z'
loop_
_atom_site_label
_atom_site_type_symbol
_atom_site_fract_x
_atom_site_fract_y
_atom_site_fract_z
Fe1 Fe 0.000 0.000 0.000
Fe2 Fe 0.188 0.500 0.736
P1 P 0.277 0.000 0.006
P2 P 0.429 0.500 0.599
C1 C 0.486 0.000 0.215
C2 C 0.488 0.000 0.450
```

offset from the most stable computed form: 2.74 kJ/mol of atoms
density: 4.9 Mg/m³
energy of formation from the pure elements: 16 kJ/mol of atoms
energy: -0.554 Ry per atom

---

Which of these has the highest energy? HgOs2PbCl